Density functional theory data (PBE+U) for a relaxed V2BiPtO8 crystal.

Density of states at the Fermi level (states/eV/cell): 6.2
DFT total energy (eV per atom): -6.66
Space-group type: P-3m1, No. 164

abc: 5.7044 5.7044 6.4856
angles: 90.00 90.00 120.00
Closest atoms and distances in Å follow each position.
Positions (direct):
O: 0.6667 0.3333 0.9637  1 V 1.65
O: 0.1576 0.3147 0.7135  1 V 1.79
O: 0.3147 0.1571 0.2865  1 V 1.79
O: 0.8429 0.1576 0.2865  1 V 1.79
O: 0.3333 0.6667 0.0363  1 V 1.65
O: 0.8424 0.6853 0.2865  1 V 1.79
O: 0.1571 0.8424 0.7135  1 V 1.79
O: 0.6853 0.8429 0.7135  1 V 1.79
Pt: 0.0000 0.0000 0.5000  6 O 2.08
Bi: 0.0000 0.0000 0.0000  6 O 2.42
V: 0.6667 0.3333 0.2185  4 O 1.65-1.79
V: 0.3333 0.6667 0.7815  4 O 1.65-1.79